FeHPt | PBE | optimized geometry

Cell: 4.480 2.750 4.850 Å, 90.00 91.22 90.00°
Fractional positions:
Fe 0.230 0.000 0.162
Fe 0.770 0.000 0.838
H 0.500 0.000 0.500
H 0.500 0.500 0.000
Pt 0.245 0.500 0.676
Pt 0.755 0.500 0.324

## Properties
space group = P2/m, No. 10
VASP energy = -0.2183 hartree per atom
calculated volume = 9.96 Å³ per atom

Rb2FeH6 | PBE | optimized geometry

Cell: 4.622 5.618 5.630 Å, 60.15 89.80 89.98°
Fractional positions:
Rb 0.199 0.333 0.335
Rb 0.801 0.667 0.665
Fe 0.500 0.000 0.000
H 0.307 0.860 0.866
H 0.308 0.274 0.866
H 0.308 0.864 0.273
H 0.692 0.136 0.727
H 0.692 0.726 0.134
H 0.693 0.140 0.134

## Properties
space group = P-1, No. 2
VASP energy = -0.1237 hartree per atom
calculated volume = 14.09 Å³ per atom

Fe2HSe | PBE | optimized geometry

Cell: 4.187 4.187 4.187 Å, 139.94 116.73 77.57°
Fractional positions:
Fe 0.188 0.188 0.000
Fe 0.812 0.812 0.000
H 0.000 0.500 0.500
Se 0.500 0.000 0.500

## Properties
space group = Immm, No. 71
VASP energy = -0.2096 hartree per atom
calculated volume = 10.28 Å³ per atom

Fe3SiH | PBE | optimized geometry

Cell: 5.086 5.086 5.086 Å, 122.30 122.30 86.07°
Fractional positions:
Fe 0.192 0.692 0.885
Fe 0.250 0.250 0.000
Fe 0.308 0.192 0.500
Fe 0.692 0.808 0.500
Fe 0.750 0.750 0.000
Fe 0.808 0.308 0.115
Si 0.250 0.750 0.500
Si 0.750 0.250 0.500
H 0.000 0.000 0.000
H 0.500 0.500 0.000

## Properties
space group = I4/mcm, No. 140
VASP energy = -0.2540 hartree per atom
calculated volume = 8.96 Å³ per atom

SrTm2FeH8 | PBE | optimized geometry

Cell: 4.542 4.542 7.353 Å, 90.00 90.00 120.00°
Fractional positions:
Sr 0.000 0.000 0.000
Tm 0.333 0.667 0.638
Tm 0.667 0.333 0.362
Fe 0.000 0.000 0.500
H 0.167 0.335 0.365
H 0.167 0.833 0.365
H 0.333 0.667 0.924
H 0.335 0.167 0.635
H 0.665 0.833 0.365
H 0.667 0.333 0.076
H 0.833 0.167 0.635
H 0.833 0.665 0.635

## Properties
space group = P-3m1, No. 164
VASP energy = -0.1575 hartree per atom
calculated volume = 10.95 Å³ per atom

ZnFe3H | PBE | optimized geometry

Cell: 3.662 3.662 3.683 Å, 90.00 90.00 90.00°
Fractional positions:
Zn 0.000 0.000 0.000
Fe 0.000 0.500 0.500
Fe 0.500 0.000 0.500
Fe 0.500 0.500 0.000
H 0.500 0.500 0.500

## Properties
space group = P4/mmm, No. 123
VASP energy = -0.2188 hartree per atom
calculated volume = 9.88 Å³ per atom

ZnFe3H | PBE | optimized geometry

Cell: 3.681 3.681 3.681 Å, 90.00 90.00 90.00°
Fractional positions:
Zn 0.000 0.000 0.000
Fe 0.000 0.500 0.500
Fe 0.500 0.000 0.500
Fe 0.500 0.500 0.000
H 0.500 0.500 0.500

## Properties
space group = Pm-3m, No. 221
VASP energy = -0.2189 hartree per atom
calculated volume = 9.97 Å³ per atom

HfFe2 | PBE | optimized geometry

Cell: 6.062 2.931 9.940 Å, 90.00 90.00 90.00°
Fractional positions:
Hf 0.223 0.250 0.201
Hf 0.277 0.750 0.701
Hf 0.723 0.250 0.299
Hf 0.777 0.750 0.799
Fe 0.052 0.750 0.410
Fe 0.149 0.750 0.962
Fe 0.351 0.250 0.462
Fe 0.448 0.250 0.910
Fe 0.552 0.750 0.090
Fe 0.649 0.750 0.538
Fe 0.851 0.250 0.038
Fe 0.948 0.250 0.590

## Properties
space group = Pnma, No. 62
VASP energy = -0.3225 hartree per atom
calculated volume = 14.72 Å³ per atom

HfFe2 | PBE | optimized geometry

Cell: 4.926 4.926 16.011 Å, 90.00 90.00 120.00°
Fractional positions:
Hf 0.000 0.000 0.094
Hf 0.000 0.000 0.406
Hf 0.000 0.000 0.594
Hf 0.000 0.000 0.906
Hf 0.333 0.667 0.156
Hf 0.333 0.667 0.344
Hf 0.667 0.333 0.656
Hf 0.667 0.333 0.844
Fe 0.000 0.500 0.000
Fe 0.000 0.500 0.500
Fe 0.165 0.330 0.750
Fe 0.165 0.835 0.750
Fe 0.330 0.165 0.250
Fe 0.333 0.667 0.625
Fe 0.333 0.667 0.875
Fe 0.500 0.000 0.000
Fe 0.500 0.000 0.500
Fe 0.500 0.500 0.000
Fe 0.500 0.500 0.500
Fe 0.667 0.333 0.125
Fe 0.667 0.333 0.375
Fe 0.670 0.835 0.750
Fe 0.835 0.165 0.250
Fe 0.835 0.670 0.250

## Properties
space group = P6_3/mmc, No. 194
VASP energy = -0.3380 hartree per atom
calculated volume = 14.02 Å³ per atom

HfFe2 | PBE | optimized geometry

Cell: 4.926 4.926 8.012 Å, 90.00 90.00 120.00°
Fractional positions:
Hf 0.333 0.667 0.062
Hf 0.333 0.667 0.438
Hf 0.667 0.333 0.562
Hf 0.667 0.333 0.938
Fe 0.000 0.000 0.000
Fe 0.000 0.000 0.500
Fe 0.168 0.337 0.750
Fe 0.168 0.832 0.750
Fe 0.337 0.168 0.250
Fe 0.663 0.832 0.750
Fe 0.832 0.168 0.250
Fe 0.832 0.663 0.250

## Properties
space group = P6_3/mmc, No. 194
VASP energy = -0.3377 hartree per atom
calculated volume = 14.03 Å³ per atom

Hf3Fe | PBE | optimized geometry

Cell: 5.421 5.421 5.421 Å, 135.32 135.32 65.04°
Fractional positions:
Hf 0.000 0.000 0.000
Hf 0.250 0.750 0.500
Hf 0.750 0.250 0.500
Fe 0.500 0.500 0.000

## Properties
space group = I4/mmm, No. 139
VASP energy = -0.3441 hartree per atom
calculated volume = 19.41 Å³ per atom

HfFe2 | PBE | optimized geometry

Cell: 4.825 4.825 4.630 Å, 90.00 90.00 90.00°
Fractional positions:
Hf 0.000 0.000 0.000
Hf 0.500 0.500 0.500
Fe 0.156 0.156 0.500
Fe 0.344 0.656 0.000
Fe 0.656 0.344 0.000
Fe 0.844 0.844 0.500

## Properties
space group = P4_2/mnm, No. 136
VASP energy = -0.2820 hartree per atom
calculated volume = 17.96 Å³ per atom

HfFe | PBE | optimized geometry

Cell: 4.267 4.267 5.143 Å, 90.00 90.00 120.00°
Fractional positions:
Hf 0.333 0.667 0.250
Hf 0.667 0.333 0.750
Fe 0.333 0.667 0.750
Fe 0.667 0.333 0.250

## Properties
space group = P6_3/mmc, No. 194
VASP energy = -0.3064 hartree per atom
calculated volume = 20.27 Å³ per atom

Hf2Fe | PBE | optimized geometry

Cell: 8.457 8.457 8.457 Å, 60.00 60.00 60.00°
Fractional positions:
Hf 0.000 0.000 0.000
Hf 0.000 0.000 0.500
Hf 0.000 0.500 0.000
Hf 0.186 0.186 0.564
Hf 0.186 0.564 0.186
Hf 0.186 0.564 0.564
Hf 0.436 0.436 0.814
Hf 0.436 0.814 0.436
Hf 0.436 0.814 0.814
Hf 0.500 0.000 0.000
Hf 0.564 0.186 0.186
Hf 0.564 0.186 0.564
Hf 0.564 0.564 0.186
Hf 0.814 0.436 0.436
Hf 0.814 0.436 0.814
Hf 0.814 0.814 0.436
Fe 0.147 0.784 0.784
Fe 0.216 0.216 0.216
Fe 0.216 0.216 0.853
Fe 0.216 0.853 0.216
Fe 0.784 0.147 0.784
Fe 0.784 0.784 0.147
Fe 0.784 0.784 0.784
Fe 0.853 0.216 0.216

## Properties
space group = Fd-3m, No. 227
VASP energy = -0.3525 hartree per atom
calculated volume = 17.82 Å³ per atom

HfFe2 | PBE | optimized geometry

Cell: 4.920 4.920 4.920 Å, 60.00 60.00 60.00°
Fractional positions:
Hf 0.125 0.125 0.125
Hf 0.875 0.875 0.875
Fe 0.000 0.500 0.500
Fe 0.500 0.000 0.500
Fe 0.500 0.500 0.000
Fe 0.500 0.500 0.500

## Properties
space group = Fd-3m, No. 227
VASP energy = -0.3382 hartree per atom
calculated volume = 14.03 Å³ per atom

Hf2Fe | PBE | optimized geometry

Cell: 5.545 5.545 5.545 Å, 60.00 60.00 60.00°
Fractional positions:
Hf 0.000 0.000 0.000
Hf 0.000 0.000 0.500
Hf 0.000 0.500 0.000
Hf 0.500 0.000 0.000
Fe 0.375 0.375 0.375
Fe 0.625 0.625 0.625

## Properties
space group = Fd-3m, No. 227
VASP energy = -0.3142 hartree per atom
calculated volume = 20.09 Å³ per atom

Hf3Fe2 | PBE | optimized geometry

Cell: 6.693 6.693 6.693 Å, 53.85 53.85 53.85°
Fractional positions:
Hf 0.138 0.750 0.362
Hf 0.250 0.638 0.862
Hf 0.362 0.138 0.750
Hf 0.638 0.862 0.250
Hf 0.750 0.362 0.138
Hf 0.862 0.250 0.638
Fe 0.182 0.182 0.182
Fe 0.318 0.318 0.318
Fe 0.682 0.682 0.682
Fe 0.818 0.818 0.818

## Properties
space group = R-3c, No. 167
VASP energy = -0.3400 hartree per atom
calculated volume = 18.15 Å³ per atom

Hf2Fe | PBE | optimized geometry

Cell: 7.340 7.340 7.340 Å, 60.00 60.00 60.00°
Fractional positions:
Hf 0.000 0.000 0.000
Hf 0.000 0.000 0.500
Hf 0.000 0.500 0.000
Hf 0.500 0.000 0.000
Fe 0.125 0.125 0.125
Fe 0.875 0.875 0.875

## Properties
space group = Fd-3m, No. 227
VASP energy = -0.2726 hartree per atom
calculated volume = 46.61 Å³ per atom

HfFe | PBE | optimized geometry

Cell: 3.101 3.101 3.946 Å, 90.00 90.00 120.00°
Fractional positions:
Hf 0.000 0.000 0.000
Fe 0.333 0.667 0.500

## Properties
space group = P-6m2, No. 187
VASP energy = -0.3285 hartree per atom
calculated volume = 16.43 Å³ per atom

HfFe | PBE | optimized geometry

Cell: 3.649 3.649 3.649 Å, 60.00 60.00 60.00°
Fractional positions:
Hf 0.000 0.000 0.000
Fe 0.500 0.500 0.500

## Properties
space group = Fm-3m, No. 225
VASP energy = -0.3235 hartree per atom
calculated volume = 17.18 Å³ per atom